A geometry-optimized Hf2BF structure. Source: the Alexandria database, functional GGA-PBE.

```
4
Lattice="0.263 2.321 3.532 -1.978 3.737 0.229 -3.392 0.451 2.495" Properties=species:S:1:pos:R:3 pbc="T T T"
Hf -3.830 4.882 4.692
Hf -1.277 1.627 1.564
F -2.553 3.255 3.128
B 0.000 0.000 0.000
```

ΔE to the lowest computed polymorph (meV/atom): 0
Uncorrected formation energy (eV per formula unit): -3.1
Calculated volume (Å³ per atom): 13.42
Total magnetic moment (μB/f.u.): 0.00
Space group: Fm-3m

A geometry-optimized PmPr3Th structure. Source: the Alexandria database, functional GGA-PBE.

```
10
Lattice="-0.666 1.899 2.965 -6.032 3.271 -5.615 1.153 -13.601 8.969" Properties=species:S:1:pos:R:3 pbc="T T T"
Th -4.012 -5.493 2.616
Th -1.533 -2.939 3.703
Pr -4.065 -7.283 5.916
Pr -1.047 -6.405 3.866
Pr -4.497 -2.027 2.453
Pr -1.479 -1.149 0.403
Pr -4.718 2.507 -2.665
Pr -0.827 -10.938 8.984
Pm -4.943 0.820 0.530
Pm -0.602 -9.252 5.790
```

ΔE to the lowest computed polymorph (meV/atom): 73
Calculated volume (Å³ per atom): 35.38
Total magnetic moment (μB/f.u.): 0.00
Space group: C2/m
Energy of formation from the pure elements (eV per atom): 0.0961

A geometry-optimized TeAs2Pt structure. Source: the Alexandria database, functional GGA-PBE.

```
4
Lattice="4.973 0.000 0.000 0.000 4.973 0.000 0.000 0.000 3.191" Properties=species:S:1:pos:R:3 pbc="T T T"
As 0.000 0.000 0.000
As 2.486 2.486 0.000
Te 0.000 2.486 1.595
Pt 2.486 0.000 1.595
```

Uncorrected formation energy (eV per formula unit): 1.5
Calculated volume (Å³ per atom): 19.73
Total magnetic moment (μB/f.u.): 0.00
Space group: P4/mmm

A geometry-optimized SmErOs structure. Source: the Alexandria database, functional GGA-PBE.

```
18
Lattice="-0.967 2.146 -3.321 -0.561 -6.734 -4.188 -13.496 -0.941 3.320" Properties=species:S:1:pos:R:3 pbc="T T T"
Os -5.976 0.266 -0.583
Os -10.370 -3.678 0.641
Os -3.687 -3.997 -1.510
Os -9.048 -5.795 -3.606
Os -13.214 -6.086 -2.581
Os -1.810 0.556 -1.608
Sm -1.058 -5.440 -3.207
Sm -12.999 -2.236 2.339
Sm -6.589 -5.825 -1.846
Sm -3.457 -1.234 0.209
Sm -7.468 -1.850 0.978
Sm -10.600 -6.441 -1.077
Er -2.449 -1.946 -3.040
Er -9.275 -3.353 -1.962
Er -12.575 -3.583 -1.150
Er -4.313 -4.626 -4.229
Er -10.711 -0.903 0.039
Er -5.749 -2.176 -2.228
```

ΔE to the lowest computed polymorph (meV/atom): 3
Calculated volume (Å³ per atom): 25.05
Total magnetic moment (μB/f.u.): 0.00
Space group: Pmma
Energy of formation from the pure elements (eV per atom): -0.1841

A geometry-optimized Li8AlTl2 structure. Source: the Alexandria database, functional GGA-PBE.

```
11
Lattice="-1.300 -4.199 -1.047 3.581 -2.472 5.470 -6.013 3.826 1.874" Properties=species:S:1:pos:R:3 pbc="T T T"
Li -5.884 -1.154 2.184
Li -2.568 -2.866 4.935
Li -1.164 0.021 1.363
Li -0.319 -2.863 2.128
Li 0.280 -3.727 4.852
Li 2.152 -1.692 4.113
Li -4.012 0.882 1.445
Li -3.413 0.018 4.169
Tl -3.136 -1.994 2.142
Tl -0.596 -0.851 4.156
Al -0.650 -2.100 -0.523
```

ΔE to the lowest computed polymorph (meV/atom): 0
Calculated volume (Å³ per atom): 18.25
Total magnetic moment (μB/f.u.): 0.00
Space group: C2/m
Energy of formation from the pure elements (eV per atom): -0.1601

A geometry-optimized Ac2DyTe4 structure. Source: the Alexandria database, functional GGA-PBE.

```
14
Lattice="4.394 0.000 0.000 -2.197 7.821 0.000 0.000 0.000 15.610" Properties=species:S:1:pos:R:3 pbc="T T T"
Te 2.197 7.638 11.707
Te 2.197 0.000 0.000
Te 2.197 4.475 5.809
Te 0.000 3.347 13.614
Te 2.197 0.000 7.805
Te 0.000 3.347 9.800
Te 2.197 4.475 1.995
Te 0.000 0.184 3.902
Dy 0.000 5.778 3.902
Dy 2.197 2.044 11.707
Ac 0.000 2.069 6.613
Ac 2.197 5.753 8.996
Ac 2.197 5.753 14.418
Ac 0.000 2.069 1.191
```

ΔE to the lowest computed polymorph (meV/atom): 87
Uncorrected formation energy (eV per formula unit): -9.8
Calculated volume (Å³ per atom): 38.32
Total magnetic moment (μB/f.u.): 0.00
Space group: Cmcm

A geometry-optimized LaPb3 structure. Source: the Alexandria database, functional GGA-PBE.

```
4
Lattice="5.883 0.138 0.000 -1.393 5.718 0.000 0.000 0.000 3.730" Properties=species:S:1:pos:R:3 pbc="T T T"
La 0.000 0.000 0.000
Pb -0.696 2.859 1.865
Pb 2.245 2.928 0.000
Pb 2.942 0.069 1.865
```

Calculated volume (Å³ per atom): 31.55
Total magnetic moment (μB/f.u.): 0.00
Space group: Cmmm
Energy of formation from the pure elements (eV per atom): -0.3240

A geometry-optimized Sr5PrHg6 structure. Source: the Alexandria database, functional GGA-PBE.

```
12
Lattice="5.312 -0.032 1.770 0.043 8.015 0.014 -0.003 -0.016 8.864" Properties=species:S:1:pos:R:3 pbc="T T T"
Sr 3.564 3.976 7.086
Sr 1.787 3.992 3.562
Sr 0.022 4.007 0.007
Sr 1.764 -0.016 3.560
Sr 3.544 -0.032 7.074
Hg 2.666 1.891 0.888
Hg 0.892 6.042 6.284
Hg 2.689 6.092 0.896
Hg 4.459 1.925 4.364
Hg 4.481 6.027 4.371
Hg 0.871 1.941 6.277
Pr 0.000 0.000 0.000
```

Calculated volume (Å³ per atom): 31.45
Total magnetic moment (μB/f.u.): 0.00
Space group: Cmmm
Energy of formation from the pure elements (eV per atom): -0.5247

A geometry-optimized MgIn3Au structure. Source: the Alexandria database, functional GGA-PBE.

```
5
Lattice="5.388 0.000 0.000 0.000 5.388 0.000 0.000 0.000 5.388" Properties=species:S:1:pos:R:3 pbc="T T T"
In 0.000 2.694 0.000
In 2.694 0.000 0.000
In 0.000 0.000 2.694
Au 0.000 0.000 0.000
Mg 2.694 2.694 2.694
```

ΔE to the lowest computed polymorph (meV/atom): 0
Calculated volume (Å³ per atom): 31.29
Total magnetic moment (μB/f.u.): 0.00
Space group: Pm-3m
Energy of formation from the pure elements (eV per atom): 0.1619

A geometry-optimized GdYO structure. Source: the Alexandria database, functional GGA-PBE.

```
3
Lattice="-1.417 2.720 -1.742 1.277 -2.763 -1.782 -5.280 -2.595 0.242" Properties=species:S:1:pos:R:3 pbc="T T T"
O -3.118 -2.654 -1.609
Gd -4.776 -2.348 0.219
Y -2.806 -0.232 -1.651
```

Uncorrected formation energy (eV per formula unit): -5.4
Calculated volume (Å³ per atom): 21.15
Total magnetic moment (μB/f.u.): 7.03
Space group: P3m1

A geometry-optimized Ba2Bi5Pt3 structure. Source: the Alexandria database, functional GGA-PBE.

```
10
Lattice="4.868 0.000 0.000 0.000 4.868 0.000 0.000 0.000 12.937" Properties=species:S:1:pos:R:3 pbc="T T T"
Bi 2.434 2.434 6.468
Bi 0.000 0.000 0.000
Bi 2.434 2.434 0.000
Bi 0.000 2.434 2.451
Bi 2.434 0.000 10.486
Pt 2.434 0.000 7.759
Pt 0.000 2.434 5.178
Pt 0.000 0.000 6.468
Ba 2.434 0.000 3.776
Ba 0.000 2.434 9.161
```

ΔE to the lowest computed polymorph (meV/atom): 132
Calculated volume (Å³ per atom): 30.66
Total magnetic moment (μB/f.u.): 0.00
Space group: P-4m2
Energy of formation from the pure elements (eV per atom): -0.3873

A geometry-optimized CaAlAs2 structure. Source: the Alexandria database, functional GGA-PBE.

```
4
Lattice="3.847 -0.111 0.072 2.032 3.268 0.072 1.806 0.970 6.989" Properties=species:S:1:pos:R:3 pbc="T T T"
Ca 5.764 3.095 5.350
As 5.871 3.153 0.444
As 3.851 2.068 3.268
Al 1.921 1.032 1.783
```

ΔE to the lowest computed polymorph (meV/atom): 52
Calculated volume (Å³ per atom): 22.22
Total magnetic moment (μB/f.u.): 0.00
Space group: C2/m
Energy of formation from the pure elements (eV per atom): -0.5648